# TiV5Cr6

TiV5Cr6 after structural relaxation (GGA-PBE, Alexandria via LeMat-Bulk).

The structure in extended XYZ format:
```
12
Lattice="3.995 0.017 -1.166 -0.807 5.165 -2.689 -0.081 0.368 7.156" Properties=species:S:1:pos:R:3 pbc="T T T"
Cr 2.799 3.240 2.211
Cr 3.198 0.690 3.538
Cr 1.397 3.849 -2.583
Cr 1.791 1.333 -1.273
Cr -0.090 4.860 -0.237
Cr 0.308 2.310 1.090
V 2.503 0.997 1.163
V 1.007 1.970 3.481
V -0.403 2.582 -1.345
V 2.100 3.580 -0.180
V 0.604 4.553 2.138
Ti 0.000 0.000 0.000
```

Summary:
Density of states at the Fermi level, states/eV/atom: 1.332
Total magnetization, μB/cell: 0.00
ΔE_f, kJ per mole of atoms: -5
ρ, Mg/m³: 6.7

# TiV2Cr2

TiV2Cr2 after structural relaxation (GGA-PBE, Alexandria via LeMat-Bulk).

The structure in extended XYZ format:
```
10
Lattice="-0.846 -4.722 4.901 3.992 -4.343 -3.496 2.358 1.036 1.405" Properties=species:S:1:pos:R:3 pbc="T T T"
Cr 3.104 -5.364 -1.253
Cr 1.866 -6.837 1.911
Cr 0.042 -3.701 2.658
Cr 1.281 -2.228 -0.506
V 3.652 -3.028 -0.832
V 4.015 -6.244 0.930
V 1.852 -5.002 3.642
V 1.489 -1.785 1.880
Ti 0.000 0.000 0.000
Ti 1.573 -4.533 0.702
```

Summary:
Density of states at the Fermi level, states/eV/atom: 1.469
Total magnetization, μB/cell: 0.00
ΔE_f, kJ per mole of atoms: 26
ρ, Mg/m³: 6.1
Relative energy among the computed polymorphs, meV/atom: 273

# ZrTiV2Cr

ZrTiV2Cr after structural relaxation (GGA-PBE, Alexandria via LeMat-Bulk).

The structure in extended XYZ format:
```
5
Lattice="-4.037 1.093 1.275 1.305 -0.231 4.332 1.110 4.228 -0.109" Properties=species:S:1:pos:R:3 pbc="T T T"
Cr 0.000 0.000 0.000
Ti 0.653 -0.115 2.166
Zr -0.811 2.545 2.749
V 0.555 2.114 -0.055
V -2.019 0.546 0.637
```

Summary:
Density of states at the Fermi level, states/eV/atom: 1.195
Total magnetization, μB/cell: 0.00
ΔE_f, kJ per mole of atoms: 52
ρ, Mg/m³: 5.6

# TiCr4W

TiCr4W after structural relaxation (GGA-PBE, Alexandria via LeMat-Bulk).

The structure in extended XYZ format:
```
6
Lattice="-1.327 4.338 -1.651 -3.553 0.363 -3.247 -4.261 1.871 1.283" Properties=species:S:1:pos:R:3 pbc="T T T"
Cr -3.584 3.172 -2.899
Cr -3.937 3.925 -0.637
Cr -5.711 4.106 -2.259
Cr -5.049 1.941 -1.434
W -2.285 1.643 -0.904
Ti 0.000 0.000 0.000
```

Summary:
Density of states at the Fermi level, states/eV/atom: 0.806
Total magnetization, μB/cell: 0.00
ΔE_f, kJ per mole of atoms: -6
ρ, Mg/m³: 9.2

# Ti2CrW

Ti2CrW after structural relaxation (GGA-PBE, Alexandria via LeMat-Bulk).

The structure in extended XYZ format:
```
4
Lattice="4.440 0.000 0.000 2.220 3.845 0.000 2.220 1.282 3.625" Properties=species:S:1:pos:R:3 pbc="T T T"
Cr 0.000 0.000 0.000
W 4.440 2.563 1.813
Ti 2.220 1.282 0.906
Ti 6.660 3.845 2.719
```

Summary:
Density of states at the Fermi level, states/eV/atom: 1.631
Total magnetization, μB/cell: 2.43
ΔE_f, kJ per mole of atoms: 9
ρ, Mg/m³: 8.9
Relative energy among the computed polymorphs, meV/atom: 11

# Ti2CrW

Ti2CrW after structural relaxation (GGA-PBE, Alexandria via LeMat-Bulk).

The structure in extended XYZ format:
```
8
Lattice="6.906 0.000 0.000 0.000 6.906 0.000 3.453 3.453 2.641" Properties=species:S:1:pos:R:3 pbc="T T T"
Cr 3.453 3.453 0.000
Cr 3.453 6.906 1.321
W 0.000 0.000 0.000
W 6.906 3.453 1.321
Ti 5.033 1.727 0.660
Ti 1.874 5.180 0.660
Ti 5.180 5.327 1.981
Ti 8.633 8.486 1.981
```

Summary:
Density of states at the Fermi level, states/eV/atom: 1.339
Total magnetization, μB/cell: 0.00
ΔE_f, kJ per mole of atoms: 58
ρ, Mg/m³: 8.7
Relative energy among the computed polymorphs, meV/atom: 517

# Ti2CrW

Ti2CrW after structural relaxation (GGA-PBE, Alexandria via LeMat-Bulk).

The structure in extended XYZ format:
```
4
Lattice="-1.903 -2.455 -0.285 2.139 -1.816 1.362 -2.490 1.279 5.615" Properties=species:S:1:pos:R:3 pbc="T T T"
Cr 0.118 -2.135 0.539
W -1.127 -1.496 3.346
Ti -1.889 0.970 4.260
Ti -0.601 0.309 1.355
```

Summary:
Density of states at the Fermi level, states/eV/atom: 1.483
Total magnetization, μB/cell: 1.78
ΔE_f, kJ per mole of atoms: 8
ρ, Mg/m³: 9.0
Relative energy among the computed polymorphs, meV/atom: 0

# TiCrW4

TiCrW4 after structural relaxation (GGA-PBE, Alexandria via LeMat-Bulk).

The structure in extended XYZ format:
```
6
Lattice="0.624 4.388 0.152 -0.804 2.194 4.641 4.198 1.552 2.655" Properties=species:S:1:pos:R:3 pbc="T T T"
Ti 1.697 1.873 3.648
Cr 0.000 0.000 0.000
W 3.221 3.958 1.904
W 0.796 4.176 5.544
W 0.703 4.284 2.830
W 3.315 3.850 4.619
```

Summary:
Density of states at the Fermi level, states/eV/atom: 0.637
Total magnetization, μB/cell: 0.00
ΔE_f, kJ per mole of atoms: -4
ρ, Mg/m³: 15.0

# Ti12Cr3W5

Ti12Cr3W5 after structural relaxation (GGA-PBE, Alexandria via LeMat-Bulk).

The structure in extended XYZ format:
```
80
Lattice="-10.690 -2.027 6.495 3.233 -10.560 -6.215 9.277 3.188 8.022" Properties=species:S:1:pos:R:3 pbc="T T T"
Cr -5.646 -5.082 3.544
Cr -5.770 -9.295 2.025
Cr 4.214 -6.687 2.789
Cr 1.210 -0.631 3.855
Cr -6.631 -2.297 6.912
Cr 0.331 -6.563 0.557
Cr 1.489 -2.836 7.746
Cr 8.450 -7.102 1.391
Cr 0.609 -8.767 4.447
Cr -2.394 -2.711 5.514
Cr 7.589 -0.104 6.278
Cr 7.465 -4.317 4.759
W 2.195 -3.416 0.487
W 1.617 -5.280 -3.107
W 0.000 0.000 0.000
W -2.041 -3.002 1.885
W -0.707 0.580 7.259
W -3.729 -6.293 0.140
W 4.567 -6.978 -0.841
W 0.504 -0.051 11.114
W -2.518 -6.925 3.996
W 3.353 0.311 7.676
W -1.533 -9.710 0.627
W 0.910 -4.699 4.151
W -5.345 -1.013 3.248
W 4.638 1.594 4.011
W 4.338 -2.474 4.307
W 1.316 -9.348 -2.811
W 6.255 -3.686 0.904
W -2.748 -2.421 9.144
W 3.861 -6.397 6.418
W -0.376 -5.982 7.816
Ti -6.808 -2.596 4.513
Ti 2.354 -5.253 2.188
Ti -6.286 -4.996 5.880
Ti -4.142 -3.204 3.240
Ti 2.055 -6.843 4.734
Ti -6.633 -7.263 3.922
Ti 2.554 -7.529 0.551
Ti 3.421 -9.147 -4.162
Ti 3.223 -8.866 3.171
Ti -4.328 -7.367 2.316
Ti -3.327 -4.938 5.297
Ti -5.256 -11.417 0.102
Ti 6.284 -6.183 0.807
Ti -1.585 -5.077 0.551
Ti 5.373 -8.962 -2.148
Ti 1.390 -0.338 6.255
Ti 1.548 -1.229 1.530
Ti -1.935 -7.724 -0.852
Ti -3.548 -10.266 2.014
Ti 0.475 -4.215 -1.156
Ti 6.132 -8.170 2.789
Ti -0.308 -6.483 2.894
Ti -2.110 -8.909 5.475
Ti 1.158 -2.237 10.072
Ti 2.127 -2.915 5.408
Ti 3.929 -0.490 2.828
Ti 0.662 -7.162 -1.769
Ti 5.368 0.867 6.288
Ti -4.313 -1.229 5.513
Ti 1.344 -5.184 9.459
Ti 3.755 -1.675 9.155
Ti 0.430 -9.060 2.048
Ti 0.272 -8.170 6.773
Ti -3.553 -0.437 10.450
Ti -4.465 -3.216 7.496
Ti 7.075 2.019 8.201
Ti 3.404 -4.322 7.751
Ti -1.403 -0.532 5.132
Ti 6.148 -2.031 5.987
Ti 5.147 -4.460 3.006
Ti -1.601 -0.251 12.464
Ti -0.735 -1.869 7.752
Ti 5.962 -6.195 5.063
Ti 8.452 -2.135 4.381
Ti -0.236 -2.556 3.569
Ti 8.106 -4.403 2.422
Ti -0.534 -4.146 6.114
Ti 8.628 -6.803 3.790
```

Summary:
Density of states at the Fermi level, states/eV/atom: 1.509
Total magnetization, μB/cell: 0.56
ΔE_f, kJ per mole of atoms: 132
ρ, Mg/m³: 7.0

# TiCr2W6

TiCr2W6 after structural relaxation (GGA-PBE, Alexandria via LeMat-Bulk).

The structure in extended XYZ format:
```
9
Lattice="-2.959 -2.076 3.472 4.484 -3.852 -2.120 -0.944 4.498 5.527" Properties=species:S:1:pos:R:3 pbc="T T T"
Ti 0.000 0.000 0.000
Cr -1.032 0.266 6.516
Cr 1.613 -1.697 0.363
W 1.401 -3.346 2.801
W -0.820 1.916 4.078
W 1.018 -0.204 2.586
W -1.960 2.330 6.980
W 2.541 -3.760 -0.101
W -0.437 -1.226 4.294
```

Summary:
Density of states at the Fermi level, states/eV/atom: 0.702
Total magnetization, μB/cell: 0.00
ΔE_f, kJ per mole of atoms: 25
ρ, Mg/m³: 14.9

# TiCrW3

TiCrW3 after structural relaxation (GGA-PBE, Alexandria via LeMat-Bulk).

The structure in extended XYZ format:
```
5
Lattice="4.576 0.000 0.000 0.000 4.576 0.000 0.000 0.000 4.576" Properties=species:S:1:pos:R:3 pbc="T T T"
Cr 2.288 2.288 2.288
W 0.000 2.288 0.000
W 0.000 0.000 2.288
W 2.288 0.000 0.000
Ti 0.000 0.000 0.000
```

Summary:
Density of states at the Fermi level, states/eV/atom: 1.099
Total magnetization, μB/cell: 3.82
ΔE_f, kJ per mole of atoms: 193
ρ, Mg/m³: 11.3
Relative energy among the computed polymorphs, meV/atom: 707

# TiCrW6

TiCrW6 after structural relaxation (GGA-PBE, Alexandria via LeMat-Bulk).

The structure in extended XYZ format:
```
8
Lattice="4.419 -0.018 1.387 1.342 4.210 1.387 -0.213 -0.155 7.433" Properties=species:S:1:pos:R:3 pbc="T T T"
Ti 2.774 2.018 5.103
Cr 0.000 0.000 0.000
W 3.031 3.806 7.142
W 4.554 1.713 7.142
W 0.994 2.323 3.065
W 2.516 0.231 3.065
W 3.724 2.710 2.293
W 1.824 1.327 7.913
```

Summary:
Density of states at the Fermi level, states/eV/atom: 1.003
Total magnetization, μB/cell: 0.00
ΔE_f, kJ per mole of atoms: 79
ρ, Mg/m³: 14.2